1.
Entry from Alexandria: a relaxed structure of PuHfN (PBE).

Values from the calculation:
Space-group type ... No. 62
Energy above the most stable polymorph in this dataset ... 0.168 eV per atom

abc: 3.178 8.814 6.718
angles: 90.00 90.00 90.00
Fractional coordinates of all 12 atoms:
Hf 0.750 0.657 0.436
Hf 0.250 0.843 0.936
Hf 0.750 0.157 0.064
Hf 0.250 0.343 0.564
Pu 0.750 0.037 0.616
Pu 0.250 0.963 0.384
Pu 0.750 0.537 0.884
Pu 0.250 0.463 0.116
N 0.250 0.602 0.651
N 0.750 0.898 0.151
N 0.750 0.398 0.349
N 0.250 0.102 0.849

=====

2.
Entry from Alexandria: a relaxed structure of Pu4HfN5 (PBE).

Values from the calculation:
Space-group type ... No. 139
DFT total energy ... -12.22 eV per atom

abc: 3.437 3.437 12.388
angles: 97.97 97.97 90.00
Site moments in Bohr magnetons follow the coordinates.
Fractional coordinates of all 10 atoms:
N 0.300 0.300 0.600  -0.24
N 0.700 0.700 0.400  -0.24
N 0.500 0.500 0.000  -0.07
N 0.907 0.907 0.815  -0.19
N 0.093 0.093 0.185  -0.19
Hf 0.000 0.000 0.000  0.12
Pu 0.403 0.403 0.806  4.78
Pu 0.199 0.199 0.398  4.87
Pu 0.597 0.597 0.194  4.78
Pu 0.801 0.801 0.602  4.87

=====

3.
Entry from Alexandria: a relaxed structure of PuHfN2 (PBE).

Values from the calculation:
Space-group type ... No. 160
DFT total energy ... -11.62 eV per atom

abc: 3.256 3.256 6.179
angles: 74.72 74.72 60.00
Site moments in Bohr magnetons follow the coordinates.
Fractional coordinates of all 4 atoms:
N 0.072 0.072 0.784  -0.07
N 0.264 0.264 0.208  -0.05
Pu 0.495 0.495 0.514  5.14
Hf 0.669 0.669 0.994  0.09

=====

4.
Entry from Alexandria: a relaxed structure of PuHf4N6 (PBE).

Values from the calculation:
Space-group type ... No. 63
DFT total energy ... -11.12 eV per atom

abc: 3.199 5.563 16.239
angles: 90.00 90.00 106.71
Site moments in Bohr magnetons follow the coordinates.
Fractional coordinates of all 22 atoms:
Hf 0.868 0.736 0.548  0.03
Hf 0.397 0.794 0.364  0.07
Hf 0.603 0.206 0.864  0.07
Hf 0.397 0.794 0.136  0.07
Hf 0.132 0.264 0.452  0.03
Hf 0.868 0.736 0.952  0.03
Hf 0.603 0.206 0.636  0.07
Hf 0.132 0.264 0.048  0.03
N 0.311 0.622 0.250  -0.06
N 0.032 0.065 0.342  -0.03
N 0.230 0.460 0.918  -0.01
N 0.230 0.460 0.582  -0.01
N 0.032 0.065 0.158  -0.03
N 0.689 0.378 0.750  -0.06
N 0.500 0.000 0.000  0.00
N 0.770 0.540 0.082  -0.01
N 0.968 0.935 0.842  -0.03
N 0.770 0.540 0.418  -0.01
N 0.968 0.935 0.658  -0.03
N 0.500 0.000 0.500  0.00
Pu 0.654 0.307 0.250  4.86
Pu 0.346 0.693 0.750  4.86

=====

5.
Entry from Alexandria: a relaxed structure of PuHfN (PBE).

Values from the calculation:
Space-group type ... No. 107
Energy above the most stable polymorph in this dataset ... 0.189 eV per atom

abc: 3.081 3.081 6.589
angles: 103.52 103.52 90.00
Site moments in Bohr magnetons follow the coordinates.
Fractional coordinates of all 3 atoms:
N 0.764 0.764 0.528  0.03
Pu 0.975 0.975 0.950  5.82
Hf 0.261 0.261 0.523  0.04

=====

6.
Entry from Alexandria: a relaxed structure of Pu5HfN6 (PBE).

Values from the calculation:
Space-group type ... No. 12
DFT total energy ... -12.31 eV per atom

abc: 5.955 5.963 5.962
angles: 59.99 80.41 70.55
Site moments in Bohr magnetons follow the coordinates.
Fractional coordinates of all 12 atoms:
N 0.764 0.079 0.314  0.18
N 0.764 0.393 0.686  0.18
N 0.240 0.235 0.000  0.18
N 0.236 0.921 0.686  0.18
N 0.236 0.607 0.314  0.18
N 0.760 0.765 0.000  0.18
Pu 0.500 0.167 0.666  -4.89
Pu 0.000 0.333 0.333  -4.78
Pu 0.500 0.833 0.334  -4.89
Pu 0.500 0.500 0.000  -4.89
Pu 0.000 0.667 0.667  -4.78
Hf 0.000 0.000 0.000  -0.08

=====

7.
Entry from Alexandria: a relaxed structure of Pu2HfN (PBE).

Values from the calculation:
Space-group type ... No. 166
DFT total energy ... -11.97 eV per atom

abc: 3.242 3.242 9.442
angles: 80.11 80.11 60.00
Site moments in Bohr magnetons follow the coordinates.
Fractional coordinates of all 4 atoms:
N 0.500 0.500 0.500  -0.18
Hf 0.000 0.000 0.000  0.08
Pu 0.113 0.113 0.661  5.33
Pu 0.887 0.887 0.339  5.33

=====

8.
Entry from Alexandria: a relaxed structure of PuHfSb2N (PBE).

Values from the calculation:
Space-group type ... No. 129
DFT total energy ... -8.78 eV per atom

abc: 3.923 3.923 15.592
angles: 90.00 90.00 90.00
Site moments in Bohr magnetons follow the coordinates.
Fractional coordinates of all 10 atoms:
Sb 0.500 0.000 0.923  0.00
Sb 0.500 0.000 0.303  -0.07
Sb 0.000 0.500 0.697  -0.07
Sb 0.000 0.500 0.077  0.00
Hf 0.500 0.000 0.122  -0.06
Hf 0.000 0.500 0.878  -0.06
Pu 0.500 0.000 0.570  4.32
Pu 0.000 0.500 0.430  4.32
N 0.500 0.500 0.500  -0.27
N 0.000 0.000 0.500  -0.27

=====

9.
Entry from Alexandria: a relaxed structure of PuHf2ScN4 (PBE).

Values from the calculation:
Space-group type ... No. 74
DFT total energy ... -10.95 eV per atom

abc: 6.549 6.549 6.541
angles: 119.96 119.96 89.85
Site moments in Bohr magnetons follow the coordinates.
Fractional coordinates of all 16 atoms:
N 0.732 0.237 0.984  -0.07
N 0.257 0.243 0.994  -0.03
N 0.743 0.757 0.494  -0.03
N 0.268 0.763 0.016  -0.07
N 0.737 0.232 0.484  -0.07
N 0.743 0.757 0.006  -0.03
N 0.257 0.243 0.506  -0.03
N 0.263 0.768 0.516  -0.07
Pu 0.000 0.500 0.500  4.64
Pu 0.000 0.500 0.000  4.64
Hf 0.500 0.500 0.000  0.07
Hf 0.000 0.000 0.500  0.07
Hf 0.500 0.000 0.000  0.04
Hf 0.500 0.000 0.500  0.04
Sc 0.500 0.500 0.500  0.09
Sc 0.000 0.000 0.000  0.09

=====

10.
Entry from Alexandria: a relaxed structure of Pu2HfScN4 (PBE).

Values from the calculation:
Space-group type ... No. 10
DFT total energy ... -11.34 eV per atom

abc: 3.332 5.767 5.824
angles: 109.26 90.00 90.00
Site moments in Bohr magnetons follow the coordinates.
Fractional coordinates of all 8 atoms:
N 0.500 0.238 0.228  -0.10
N 0.000 0.250 0.768  -0.11
N 0.500 0.762 0.772  -0.10
N 0.000 0.750 0.232  -0.11
Pu 0.000 0.500 0.500  4.83
Pu 0.500 0.000 0.500  4.71
Hf 0.000 0.000 0.000  0.07
Sc 0.500 0.500 0.000  0.07

=====

11.
Entry from Alexandria: a relaxed structure of PuHfSeN2 (PBE).

Values from the calculation:
Space-group type ... No. 11
DFT total energy ... -10.33 eV per atom

abc: 3.964 6.443 7.415
angles: 110.47 90.00 90.00
Site moments in Bohr magnetons follow the coordinates.
Fractional coordinates of all 10 atoms:
N 0.750 0.521 0.386  -0.09
N 0.250 0.477 0.119  -0.22
N 0.750 0.523 0.881  -0.22
N 0.250 0.479 0.614  -0.09
Pu 0.750 0.315 0.066  4.33
Pu 0.250 0.685 0.934  4.33
Se 0.250 0.034 0.741  -0.09
Se 0.750 0.966 0.259  -0.09
Hf 0.250 0.653 0.423  0.01
Hf 0.750 0.347 0.577  0.01

=====

12.
Entry from Alexandria: a relaxed structure of SmPuHfN3 (PBE).

Values from the calculation:
Space-group type ... No. 11
DFT total energy ... -10.33 eV per atom

abc: 3.352 6.707 8.990
angles: 80.57 90.00 90.00
Site moments in Bohr magnetons follow the coordinates.
Fractional coordinates of all 12 atoms:
Pu 0.250 0.274 0.559  5.02
Pu 0.750 0.726 0.441  5.02
N 0.750 0.454 0.625  -0.15
N 0.250 0.179 0.868  -0.03
N 0.750 0.366 0.116  0.01
N 0.250 0.546 0.375  -0.15
N 0.250 0.634 0.884  0.01
N 0.750 0.821 0.132  -0.03
Hf 0.250 0.590 0.132  0.05
Hf 0.750 0.410 0.868  0.05
Sm 0.750 0.903 0.856  0.11
Sm 0.250 0.097 0.144  0.11

=====

13.
Entry from Alexandria: a relaxed structure of SmPu2HfN4 (PBE).

Values from the calculation:
Space-group type ... No. 10
DFT total energy ... -11.03 eV per atom

abc: 3.421 5.993 5.912
angles: 109.25 90.00 90.00
Site moments in Bohr magnetons follow the coordinates.
Fractional coordinates of all 8 atoms:
Pu 0.000 0.500 0.500  5.04
Pu 0.500 0.000 0.500  4.50
N 0.000 0.776 0.250  -0.13
N 0.500 0.776 0.765  -0.11
N 0.500 0.224 0.235  -0.11
N 0.000 0.224 0.750  -0.13
Sm 0.500 0.500 0.000  0.10
Hf 0.000 0.000 0.000  0.07

=====

14.
Entry from Alexandria: a relaxed structure of Pu2Hf3TaN6 (PBE).

Values from the calculation:
Space-group type ... No. 12
DFT total energy ... -11.53 eV per atom

abc: 5.640 5.640 5.739
angles: 99.42 99.42 120.06
Site moments in Bohr magnetons follow the coordinates.
Fractional coordinates of all 12 atoms:
Pu 0.666 0.334 0.000  4.59
Pu 0.334 0.666 0.000  4.59
Hf 0.834 0.166 0.500  0.05
Hf 0.500 0.500 0.500  0.06
Hf 0.166 0.834 0.500  0.05
N 0.088 0.412 0.266  -0.06
N 0.412 0.088 0.266  -0.06
N 0.912 0.588 0.734  -0.06
N 0.767 0.767 0.272  -0.05
N 0.588 0.912 0.734  -0.06
N 0.233 0.233 0.728  -0.05
Ta 0.000 0.000 0.000  -0.13

=====

15.
Entry from Alexandria: a relaxed structure of TbPu3Hf2N6 (PBE).

Values from the calculation:
Space-group type ... No. 12
DFT total energy ... -11.31 eV per atom

abc: 5.855 5.855 5.890
angles: 99.53 99.53 119.93
Site moments in Bohr magnetons follow the coordinates.
Fractional coordinates of all 12 atoms:
Tb 0.000 0.000 0.000  0.09
Pu 0.165 0.835 0.500  4.83
Pu 0.835 0.165 0.500  4.83
Pu 0.500 0.500 0.500  4.83
N 0.922 0.571 0.766  -0.10
N 0.078 0.429 0.234  -0.10
N 0.276 0.276 0.770  -0.10
N 0.724 0.724 0.230  -0.10
N 0.429 0.078 0.234  -0.10
N 0.571 0.922 0.766  -0.10
Hf 0.667 0.333 0.000  0.07
Hf 0.333 0.667 0.000  0.07

=====

16.
Entry from Alexandria: a relaxed structure of TbPuHfN3 (PBE).

Values from the calculation:
Space-group type ... No. 11
DFT total energy ... -10.37 eV per atom

abc: 3.322 6.599 9.005
angles: 80.53 90.00 90.00
Site moments in Bohr magnetons follow the coordinates.
Fractional coordinates of all 12 atoms:
N 0.750 0.453 0.625  -0.15
N 0.250 0.638 0.884  0.01
N 0.250 0.547 0.375  -0.15
N 0.750 0.362 0.116  0.01
N 0.750 0.827 0.130  -0.02
N 0.250 0.173 0.870  -0.02
Pu 0.750 0.732 0.443  5.07
Pu 0.250 0.268 0.557  5.07
Hf 0.250 0.589 0.134  0.05
Hf 0.750 0.411 0.866  0.05
Tb 0.750 0.902 0.861  0.16
Tb 0.250 0.098 0.139  0.16

=====

17.
Entry from Alexandria: a relaxed structure of Tb2PuHfN4 (PBE).

Values from the calculation:
Space-group type ... No. 10
DFT total energy ... -9.96 eV per atom

abc: 3.404 5.903 5.902
angles: 109.29 90.00 90.00
Site moments in Bohr magnetons follow the coordinates.
Fractional coordinates of all 8 atoms:
N 0.000 0.244 0.768  -0.10
N 0.500 0.768 0.772  -0.04
N 0.500 0.232 0.228  -0.04
N 0.000 0.756 0.232  -0.10
Pu 0.500 0.500 0.000  4.56
Tb 0.500 0.000 0.500  0.09
Tb 0.000 0.500 0.500  0.11
Hf 0.000 0.000 0.000  0.06

=====

18.
Entry from Alexandria: a relaxed structure of TbPu2HfN4 (PBE).

Values from the calculation:
Space-group type ... No. 10
DFT total energy ... -11.07 eV per atom

abc: 3.402 5.930 5.898
angles: 109.28 90.00 90.00
Site moments in Bohr magnetons follow the coordinates.
Fractional coordinates of all 8 atoms:
Pu 0.500 0.000 0.500  4.58
Pu 0.000 0.500 0.500  4.99
N 0.000 0.768 0.245  -0.12
N 0.500 0.228 0.233  -0.11
N 0.000 0.232 0.755  -0.12
N 0.500 0.772 0.767  -0.11
Tb 0.500 0.500 0.000  0.11
Hf 0.000 0.000 0.000  0.07

=====

19.
Entry from Alexandria: a relaxed structure of Pu3Hf2ThN6 (PBE).

Values from the calculation:
Space-group type ... No. 12
DFT total energy ... -11.50 eV per atom

abc: 5.937 5.937 5.925
angles: 99.58 99.58 119.96
Site moments in Bohr magnetons follow the coordinates.
Fractional coordinates of all 12 atoms:
Hf 0.667 0.333 0.000  0.06
Hf 0.333 0.667 0.000  0.06
Th 0.000 0.000 0.000  0.14
Pu 0.166 0.834 0.500  4.88
Pu 0.500 0.500 0.500  4.87
Pu 0.834 0.166 0.500  4.88
N 0.078 0.435 0.233  -0.09
N 0.282 0.282 0.772  -0.10
N 0.565 0.922 0.767  -0.09
N 0.922 0.565 0.767  -0.09
N 0.435 0.078 0.233  -0.09
N 0.718 0.718 0.228  -0.10

=====

20.
Entry from Alexandria: a relaxed structure of Pu2HfThN4 (PBE).

Values from the calculation:
Space-group type ... No. 10
DFT total energy ... -11.35 eV per atom

abc: 3.445 6.069 5.931
angles: 109.18 90.00 90.00
Site moments in Bohr magnetons follow the coordinates.
Fractional coordinates of all 8 atoms:
Hf 0.000 0.000 0.000  0.04
N 0.500 0.222 0.231  0.01
N 0.000 0.781 0.245  -0.07
N 0.000 0.219 0.755  -0.07
N 0.500 0.778 0.769  0.01
Th 0.500 0.500 0.000  -0.03
Pu 0.500 0.000 0.500  4.35
Pu 0.000 0.500 0.500  -4.95

=====

Number 1: Fermi-level density of states 11.969 states/eV/cell. Number 2: Fermi-level density of states 24.333 states/eV/cell. Number 3: Fermi-level density of states 8.172 states/eV/cell. Number 4: Fermi-level density of states 21.756 states/eV/cell. Number 5: Fermi-level density of states 5.255 states/eV/cell. Number 6: Fermi-level density of states 31.934 states/eV/cell. Number 7: Fermi-level density of states 12.943 states/eV/cell. Number 8: Fermi-level density of states 17.454 states/eV/cell. Number 9: Fermi-level density of states 14.311 states/eV/cell. Number 10: Fermi-level density of states 13.182 states/eV/cell. Number 11: Fermi-level density of states 13.301 states/eV/cell. Number 12: Fermi-level density of states 12.897 states/eV/cell. Number 13: Fermi-level density of states 12.466 states/eV/cell. Number 14: Fermi-level density of states 11.988 states/eV/cell. Number 15: Fermi-level density of states 19.444 states/eV/cell. Number 16: Fermi-level density of states 12.094 states/eV/cell. Number 17: Fermi-level density of states 6.194 states/eV/cell. Number 18: Fermi-level density of states 12.777 states/eV/cell. Number 19: Fermi-level density of states 17.360 states/eV/cell. Number 20: Fermi-level density of states 13.793 states/eV/cell.